(1)
Compound: AlAgMo3
Source: the Alexandria database
Functional: PBE
Structure: optimized geometry

Cell lengths 4.779, 4.779, 4.779 Å; angles 90.00, 90.00, 90.00 degrees
Sites, in units of the cell vectors:
Al 0.000 0.000 0.000
Ag 0.500 0.500 0.500
Mo 0.000 0.500 0.500
Mo 0.500 0.000 0.500
Mo 0.500 0.500 0.000

Values from the calculation:
The energy relative to the elements is 2.3213 eV/atom. The space group is Pm-3m.

(2)
Compound: Al3AgMo
Source: the Alexandria database
Functional: PBE
Structure: optimized geometry

Cell lengths 4.827, 4.827, 4.827 Å; angles 90.00, 90.00, 90.00 degrees
Sites, in units of the cell vectors:
Al 0.000 0.000 0.500
Al 0.000 0.500 0.000
Al 0.500 0.000 0.000
Ag 0.500 0.500 0.500
Mo 0.000 0.000 0.000

Values from the calculation:
The energy relative to the elements is 0.6383 eV/atom. The space group is Pm-3m.

Number 1: offset from the most stable computed form 737 meV per atom. Number 2: offset from the most stable computed form 0 meV per atom.